# ErPaSeN2 GGA-PBE relaxed
data_ErPaSeN2
_chemical_formula_sum 'Er2 Pa2 Se2 N4'
_space_group_name_H-M_alt 'I 4 m m'
_space_group_IT_number 107
_space_group_name_Hall 'I 4 -2'
_cell_length_a 3.8895
_cell_length_b 3.8895
_cell_length_c 12.1208
_cell_angle_alpha 90.00
_cell_angle_beta 90.00
_cell_angle_gamma 90.00
loop_
_atom_site_label
_atom_site_fract_x
_atom_site_fract_y
_atom_site_fract_z
Er1 0.0000 0.0000 0.0000
Pa1 0.0000 0.0000 0.3212
Se1 0.0000 0.0000 0.6600
N1 0.0000 0.5000 0.4032
# Final energy ... -8.6335 eV/atom
# DOS(E_F) ... 0.00 states/eV per cell
# Total magnetization ... 0.00 Bohr magnetons per cell
# Theoretical density ... 9.15 g cm⁻³